{
  "formula": "TbNd14Dy",
  "functional": "GGA-PBE",
  "state": "optimized geometry",
  "lattice_angstrom": [[7.265, 0.975, 0.000], [-0.974, 7.265, 0.000], [0.000, 0.000, 10.361]],
  "species": ["Tb", "Nd", "Nd", "Nd", "Nd", "Nd", "Nd", "Nd", "Nd", "Nd", "Nd", "Nd", "Nd", "Nd", "Nd", "Dy"],
  "frac_coords": [[0.875, 0.125, 0.000], [0.375, 0.625, 0.500], [0.875, 0.125, 0.500], [0.875, 0.625, 0.000], [0.875, 0.625, 0.500], [0.375, 0.125, 0.000], [0.375, 0.125, 0.500], [0.625, 0.875, 0.752], [0.625, 0.875, 0.248], [0.125, 0.375, 0.752], [0.125, 0.375, 0.248], [0.125, 0.875, 0.752], [0.125, 0.875, 0.248], [0.625, 0.375, 0.752], [0.625, 0.375, 0.248], [0.375, 0.625, 0.000]],
  "vol_a3_per_cell": 556.7,
  "delta_e_f_ev_per_atom": 0.01,
  "total_magnetization_mub_per_cell": 0.00,
  "e_tot_ev_per_atom": -4.73,
  "space_group": "P4/mmm"
}

***

{
  "formula": "Tb2Nd4Dy",
  "functional": "GGA-PBE",
  "state": "optimized geometry",
  "lattice_angstrom": [[12.120, -3.104, -1.560], [-9.489, 8.154, -1.560], [0.022, 0.043, 6.844]],
  "species": ["Tb", "Tb", "Tb", "Tb", "Nd", "Nd", "Nd", "Nd", "Nd", "Nd", "Nd", "Nd", "Dy", "Dy"],
  "frac_coords": [[0.624, 0.304, 0.451], [0.922, 0.103, 0.049], [0.103, 0.922, 0.549], [0.304, 0.624, 0.951], [0.713, 0.176, 0.866], [0.176, 0.713, 0.366], [0.186, 0.795, 0.898], [0.795, 0.186, 0.398], [0.039, 0.148, 0.603], [0.560, 0.598, 0.135], [0.598, 0.560, 0.635], [0.148, 0.039, 0.103], [0.421, 0.671, 0.500], [0.671, 0.421, 0.000]],
  "vol_a3_per_cell": 476.7,
  "delta_e_f_ev_per_atom": 0.06,
  "total_magnetization_mub_per_cell": 0.00,
  "e_tot_ev_per_atom": -4.65,
  "space_group": "Fdd2"
}

***

{
  "formula": "Tb6NdDy12",
  "functional": "GGA-PBE",
  "state": "optimized geometry",
  "lattice_angstrom": [[8.455, 0.708, 0.848], [-0.582, 8.465, 0.848], [-0.582, -0.678, 8.480]],
  "species": ["Tb", "Tb", "Tb", "Tb", "Tb", "Tb", "Nd", "Dy", "Dy", "Dy", "Dy", "Dy", "Dy", "Dy", "Dy", "Dy", "Dy", "Dy", "Dy"],
  "frac_coords": [[0.742, 0.908, 0.312], [0.688, 0.258, 0.092], [0.092, 0.688, 0.258], [0.258, 0.092, 0.688], [0.312, 0.742, 0.908], [0.908, 0.312, 0.742], [0.000, 0.000, 0.000], [0.774, 0.543, 0.436], [0.436, 0.774, 0.543], [0.543, 0.436, 0.774], [0.226, 0.457, 0.564], [0.564, 0.226, 0.457], [0.457, 0.564, 0.226], [0.011, 0.208, 0.356], [0.792, 0.644, 0.989], [0.644, 0.989, 0.792], [0.989, 0.792, 0.644], [0.208, 0.356, 0.011], [0.356, 0.011, 0.208]],
  "vol_a3_per_cell": 619.4,
  "delta_e_f_ev_per_atom": 0.15,
  "total_magnetization_mub_per_cell": 0.00,
  "e_tot_ev_per_atom": -4.47,
  "space_group": "R-3"
}